Record 1
Entry from Alexandria: a geometry-optimized AgAsW4 structure (PBE).

Properties
The value obtained for the total magnetization is 0.0000 μB per atom. The calculated formation energy is 0.898 eV per atom.

a b c (Å): 5.339 5.339 5.339
angles (deg): 60.00 60.00 60.00
Fractional coordinates of all 6 atoms:
Ag 0.750 0.750 0.750
As 0.000 0.000 0.000
W 0.869 0.377 0.377
W 0.377 0.377 0.869
W 0.377 0.869 0.377
W 0.377 0.377 0.377

Record 2
Entry from Alexandria: a geometry-optimized AgAs2W structure (PBE).

Properties
The value obtained for the total magnetization is 0.0000 μB per atom. The calculated formation energy is 0.418 eV per atom. As for the relative energy among the computed polymorphs: 0.287 eV/atom.

a b c (Å): 4.422 2.823 6.344
angles (deg): 64.72 90.00 90.00
Fractional coordinates of all 4 atoms:
As 0.000 0.044 0.934
As 0.500 0.288 0.305
Ag 0.500 0.710 0.774
W 0.000 0.459 0.488

| no. | volume (A^3/atom) |
| --- | --- |
| 1 | 17.9 |
| 2 | 17.9 |